# Ta2CdTc

A geometry-optimized Ta2CdTc structure (PBE, Alexandria).

Output
Space-group type: Immm (71)
Energy of formation in eV per atom: 0.14

a = 3.4271 Å, b = 4.6224 Å, c = 8.9292 Å
α = 90.00°, β = 90.00°, γ = 90.00°
Atoms (fractional coordinates):
1 Ta 0.0000 0.0000 0.2288
2 Ta 0.0000 0.0000 0.7712
3 Ta 0.5000 0.5000 0.2712
4 Ta 0.5000 0.5000 0.7288
5 Cd 0.0000 0.5000 0.0000
6 Cd 0.5000 0.0000 0.5000
7 Tc 0.0000 0.5000 0.5000
8 Tc 0.5000 0.0000 0.0000